A relaxed structure of SrMoF2, computed with PBE+U.

Cell: 4.7823 4.7823 4.7823 Å, 60.00 60.00 60.00°
Positions (direct):
1 Sr 0.0000 0.0000 0.0000
2 Mo 0.5000 0.5000 0.5000
3 F 0.2500 0.2500 0.2500
4 F 0.7500 0.7500 0.7500

Values from the calculation:
The relative energy among the computed polymorphs is 509.4 meV per atom. The value obtained for the total DFT energy (no corrections) is -0.339 Ry per atom. The total magnetization is 5.84 Bohr magnetons per cell.